HfCoPb2 after structural relaxation. Source: the Open Quantum Materials Database, functional PBE.

Summary:
The volume is 22.12 Å³/atom. The magnetization comes out at 0.247 μB per atom. As for the total energy: -5.60 eV/atom.

Cell: 7.0733 7.0733 7.0733 Å, 90.00 90.00 90.00°
With the nearest neighbours (Å) after each atom.
Space group F-43m (No. 216)
Asymmetric unit:
Hf 0.0000 0.0000 0.0000 (multiplicity 4)  4 Pb 3.06, 4 Co 3.06
Co 0.2500 0.2500 0.2500 (multiplicity 4)  4 Hf 3.06, 4 Pb 3.06
Pb 0.0000 0.0000 0.5000 (multiplicity 4)  4 Pb 3.06, 4 Co 3.06
Pb 0.2500 0.2500 0.7500 (multiplicity 4)  4 Hf 3.06, 4 Pb 3.06